PBE CaPd5, relaxed; symmetry = No. 191; calculated formation energy = -2.13 eV/f.u.
1.0
5.345 0.000 0.000
-2.672 4.629 0.000
0.000 0.000 4.476
Ca Pd
1 5
Cartesian
0.000 0.000 0.000 Ca
0.000 3.086 0.000 Pd
2.672 1.543 0.000 Pd
2.672 0.000 2.238 Pd
1.336 2.314 2.238 Pd
-1.336 2.314 2.238 Pd